# Pr4InGaHg2, relaxed, DFT PBE
data_Pr4InGaHg2
_cell_length_a 5.4512
_cell_length_b 5.4512
_cell_length_c 26.6294
_cell_angle_alpha 90.00
_cell_angle_beta 90.00
_cell_angle_gamma 120.00
_symmetry_space_group_name_H-M 'R -3 m'
_symmetry_Int_Tables_number 166
_symmetry_space_group_name_Hall '-R 3 2"'
loop_
_atom_site_label
_atom_site_fract_x
_atom_site_fract_y
_atom_site_fract_z
_atom_site_occupancy
Pr1 0.0000 0.0000 0.1197 1
Pr2 0.0000 0.0000 0.3699 1
In1 0.0000 0.0000 0.5000 1
Ga1 0.0000 0.0000 0.0000 1
Hg1 0.0000 0.0000 0.2447 1
# - final energy (eV/atom) = -3.6709
# - calculated volume (A^3/atom) = 28.55
# - DFT formation energy (meV per atom) = -485